1.
Entry from OQMD via LeMat-Bulk: a geometry-optimized PaTlRe structure (GGA-PBE).

## Properties
The total moment is 0.00 μB/atom. The energy relative to the lowest polymorph listed for this composition is 0.000 eV per atom. The value obtained for the raw total energy is -6.8949 eV/atom.

Cell lengths 4.817, 4.817, 4.817 Å; angles 60.00, 60.00, 60.00 degrees
Positions (direct):
Tl 0.750 0.750 0.750
Re 0.250 0.250 0.250
Pa 0.000 0.000 0.000

=====

2.
Entry from OQMD via LeMat-Bulk: a geometry-optimized RbLaHgS3 structure (GGA-PBE).

## Properties
The total moment is 0.00 μB/atom. The value obtained for the raw total energy is -4.3040 eV/atom.

Cell lengths 9.283, 9.283, 9.114 Å; angles 103.62, 103.62, 26.85 degrees
Positions (direct):
S 0.331 0.331 0.629
S 0.500 0.500 0.000
S 0.337 0.337 0.212
S 0.663 0.663 0.788
S 0.000 0.000 0.500
S 0.669 0.669 0.371
Rb 0.858 0.858 0.930
Rb 0.142 0.142 0.070
Hg 0.513 0.513 0.726
Hg 0.487 0.487 0.274
La 0.833 0.833 0.419
La 0.167 0.167 0.581

=====

3.
Entry from OQMD via LeMat-Bulk: a geometry-optimized RbPuPa structure (GGA-PBE).

## Properties
The total moment is 3.59 μB/atom. The value obtained for the raw total energy is -6.4882 eV/atom.

Cell lengths 5.729, 5.729, 5.729 Å; angles 60.00, 60.00, 60.00 degrees
Positions (direct):
Pa 0.750 0.750 0.750
Pu 0.000 0.000 0.000
Rb 0.250 0.250 0.250

=====

4.
Entry from OQMD via LeMat-Bulk: a geometry-optimized Li2AlGaCu2Au2 structure (GGA-PBE).

## Properties
The value obtained for the raw total energy is -3.4403 eV/atom.

Cell lengths 4.333, 4.333, 6.124 Å; angles 90.00, 90.00, 90.00 degrees
Positions (direct):
Cu 0.000 0.500 0.251
Cu 0.500 0.000 0.749
Al 0.500 0.500 0.500
Au 0.500 0.000 0.258
Au 0.000 0.500 0.742
Li 0.000 0.000 0.500
Li 0.500 0.500 0.000
Ga 0.000 0.000 0.000

=====

5.
Entry from OQMD via LeMat-Bulk: a geometry-optimized NaHfTe3Au structure (GGA-PBE).

## Properties
The total moment is 0.00 μB/atom. The energy relative to the lowest polymorph listed for this composition is 0.032 eV per atom. The value obtained for the raw total energy is -4.6475 eV/atom.

Cell lengths 11.563, 4.079, 14.482 Å; angles 90.00, 90.00, 90.00 degrees
Positions (direct):
Na 0.274 0.250 0.975
Na 0.726 0.750 0.025
Na 0.774 0.250 0.525
Na 0.226 0.750 0.475
Te 0.528 0.250 0.120
Te 0.773 0.250 0.839
Te 0.273 0.250 0.661
Te 0.028 0.250 0.380
Te 0.972 0.750 0.620
Te 0.054 0.750 0.891
Te 0.472 0.750 0.880
Te 0.446 0.250 0.391
Te 0.727 0.750 0.339
Te 0.946 0.250 0.109
Te 0.227 0.750 0.161
Te 0.554 0.750 0.609
Au 0.743 0.250 0.203
Au 0.243 0.250 0.297
Au 0.257 0.750 0.797
Au 0.757 0.750 0.703
Hf 0.057 0.250 0.747
Hf 0.557 0.250 0.753
Hf 0.443 0.750 0.247
Hf 0.943 0.750 0.253

=====

6.
Entry from OQMD via LeMat-Bulk: a geometry-optimized HfZnCoMo structure (GGA-PBE).

## Properties
The energy of formation from the pure elements is 0.15 eV/atom. The total moment is 0.66 μB/atom. The energy relative to the lowest polymorph listed for this composition is 0.000 eV per atom. The value obtained for the raw total energy is -7.1389 eV/atom.

Cell lengths 4.439, 4.439, 4.439 Å; angles 60.00, 60.00, 60.00 degrees
Positions (direct):
Hf 0.500 0.500 0.500
Co 0.750 0.750 0.750
Zn 0.000 0.000 0.000
Mo 0.250 0.250 0.250

=====

7.
Entry from OQMD via LeMat-Bulk: a geometry-optimized YU2 structure (GGA-PBE).

## Properties
The energy of formation from the pure elements is 3.47 eV/atom. The total moment is 1.03 μB/atom. The value obtained for the raw total energy is -6.2186 eV/atom.

Cell lengths 8.258, 8.258, 8.258 Å; angles 60.00, 60.00, 60.00 degrees
Positions (direct):
Y 0.125 0.125 0.125
Y 0.875 0.875 0.875
U 0.000 0.000 0.000
U 0.500 0.000 0.000
U 0.000 0.000 0.500
U 0.000 0.500 0.000

=====

8.
Entry from OQMD via LeMat-Bulk: a geometry-optimized BeZnSnPt structure (GGA-PBE).

## Properties
The total moment is 0.00 μB/atom. The energy relative to the lowest polymorph listed for this composition is 0.000 eV per atom. The value obtained for the raw total energy is -3.6862 eV/atom.

Cell lengths 4.471, 4.471, 4.471 Å; angles 60.00, 60.00, 60.00 degrees
Positions (direct):
Zn 0.250 0.250 0.250
Pt 0.000 0.000 0.000
Be 0.750 0.750 0.750
Sn 0.500 0.500 0.500

=====

Please write out number 5 again, unchanged.
Entry from OQMD via LeMat-Bulk: a geometry-optimized NaHfTe3Au structure (GGA-PBE).

## Properties
The total moment is 0.00 μB/atom. The energy relative to the lowest polymorph listed for this composition is 0.032 eV per atom. The value obtained for the raw total energy is -4.6475 eV/atom.

Cell lengths 11.563, 4.079, 14.482 Å; angles 90.00, 90.00, 90.00 degrees
Positions (direct):
Na 0.274 0.250 0.975
Na 0.726 0.750 0.025
Na 0.774 0.250 0.525
Na 0.226 0.750 0.475
Te 0.528 0.250 0.120
Te 0.773 0.250 0.839
Te 0.273 0.250 0.661
Te 0.028 0.250 0.380
Te 0.972 0.750 0.620
Te 0.054 0.750 0.891
Te 0.472 0.750 0.880
Te 0.446 0.250 0.391
Te 0.727 0.750 0.339
Te 0.946 0.250 0.109
Te 0.227 0.750 0.161
Te 0.554 0.750 0.609
Au 0.743 0.250 0.203
Au 0.243 0.250 0.297
Au 0.257 0.750 0.797
Au 0.757 0.750 0.703
Hf 0.057 0.250 0.747
Hf 0.557 0.250 0.753
Hf 0.443 0.750 0.247
Hf 0.943 0.750 0.253